Below is crystalline Ta4Au3 at its relaxed geometry, with properties calculated at the PBE level.

Lattice parameters (Å, degrees): 5.3159 5.3159 5.1821 90.00 90.00 120.00
With the nearest neighbours (Å) after each atom.
Space group P6/mmm (No. 191)
Asymmetric unit:
Ta 0.0000 0.0000 0.2366  2 Ta 2.45-2.73
Ta 0.3333 0.6667 0.0000  6 Au 3.01, 9 Ta 3.07-3.31
Au 0.0000 0.5000 0.5000  4 Au 2.66

Output
The formation enthalpy at 0 K comes out at 0.159 eV per atom.